Here is Cs2NpI4Cl2 after structural relaxation from Alexandria via LeMat-Bulk. Energies are from PBE.

Unit cell a=13.8688 b=8.5654 c=6.9969 alpha=90.00 beta=98.85 gamma=90.00
Closest atoms and distances in Å follow each position.
Space group C2/m (No. 12)
Inequivalent atoms, fractional coordinates:
Cs  0.1633  0.0000  0.2917  1 Cl 3.69, 4 I 4.05-4.08
Np  0.0000  0.5000  0.0000  2 Cl 2.58
I  0.0983  0.2476  0.7956  1 Np 3.03
Cl  0.1466  0.5000  0.2762  1 Np 2.58

Properties
- Total magnetic moment: 3.00 μB per formula unit
- VASP energy: -4.131 eV per atom
- Formation energy from raw total energies: -12.6 eV/f.u.